Density functional theory data (GGA+U) for a geometry-optimized Li4Mn3OF8 structure.

Unit cell a=9.8831 b=2.9883 c=11.6900 alpha=90.00 beta=102.11 gamma=90.00
Closest atoms and distances in Å follow each position.
Space group Cm (No. 8)
One atom of each set of equivalent atoms:
Li  0.0000  0.0000  0.0000 (multiplicity 2)  6 F 1.98-2.17
Li  0.0943  0.0000  0.3150 (multiplicity 2)  6 F 1.98-2.16
Li  0.2200  0.5000  0.8934 (multiplicity 2)  6 F 2.02-2.17
Li  0.3672  0.5000  0.4367 (multiplicity 2)  5 F 2.06-2.12, 1 O 2.09
Mn  0.1201  0.5000  0.5601 (multiplicity 2)  2 O 2.09, 4 F 2.20-2.24
Mn  0.3005  0.0000  0.1512 (multiplicity 2)  6 F 2.15-2.27
Mn  0.4370  0.0000  0.7211 (multiplicity 2)  2 O 2.16, 4 F 2.23-2.26
O  0.4923  0.5000  0.6052 (multiplicity 2)  4 Mn 2.09-2.16, 1 Li 2.09
F  0.0579  0.0000  0.8478 (multiplicity 2)  3 Li 1.98-2.17
F  0.1613  0.5000  0.0486 (multiplicity 2)  3 Li 2.02-2.17, 2 Mn 2.21
F  0.2353  0.0000  0.4807 (multiplicity 2)  3 Li 2.12-2.14, 2 Mn 2.20
F  0.2352  0.5000  0.2750 (multiplicity 2)  3 Li 2.06-2.16, 2 Mn 2.27
F  0.2729  0.5000  0.7313 (multiplicity 2)  1 Li 2.07, 3 Mn 2.23-2.24
F  0.3561  0.0000  0.9602 (multiplicity 2)  4 Li 2.05
F  0.4592  0.5000  0.1636 (multiplicity 2)  2 Li 1.98-2.04, 2 Mn 2.15
F  0.4895  0.0000  0.3799 (multiplicity 2)  4 Li 2.05-2.11, 1 Mn 2.23

Summary:
- Polymorph energy (0 for the lowest one): 0.000 eV/atom
- Total DFT energy (no corrections): -5.745 eV/atom